(1)
# PBE BaCa2TbTl4, optimized geometry
data_BaCa2TbTl4
_space_group_name_H-M_alt 'R -3 m'
_space_group_IT_number 166
_space_group_name_Hall '-R 3 2"'
_cell_length_a 5.5764
_cell_length_b 5.5764
_cell_length_c 28.1324
_cell_angle_alpha 90.00
_cell_angle_beta 90.00
_cell_angle_gamma 120.00
loop_
_atom_site_label
_atom_site_fract_x
_atom_site_fract_y
_atom_site_fract_z
_atom_site_occupancy
Ba1 0.0000 0.0000 0.0000 1
Ca1 0.0000 0.0000 0.2470 1
Tb1 0.0000 0.0000 0.5000 1
Tl1 0.0000 0.0000 0.1279 1
Tl2 0.0000 0.0000 0.3854 1
# **Spin magnetization**: 0.000 μB per cell
# **VASP energy**: -2.88 eV/atom
# **ΔH_f (0 K)**: -0.3808 eV/atom

(2)
# PBE La2TiAg2, optimized geometry
data_La2TiAg2
_space_group_name_H-M_alt 'P 4/m b m'
_space_group_IT_number 127
_space_group_name_Hall '-P 4 2ab'
_cell_length_a 7.436
_cell_length_b 7.436
_cell_length_c 4.836
_cell_angle_alpha 90.00
_cell_angle_beta 90.00
_cell_angle_gamma 90.00
loop_
_atom_site_label
_atom_site_fract_x
_atom_site_fract_y
_atom_site_fract_z
_atom_site_occupancy
La1 0.178 0.322 0.000 1
Ti1 0.000 0.000 0.500 1
Ag1 0.133 0.633 0.500 1
# **Spin magnetization**: 3.935 μB per cell
# **VASP energy**: -4.64 eV/atom
# **ΔH_f (0 K)**: 0.0483 eV/atom

(3)
# PBE BaTaSe3, optimized geometry
data_BaTaSe3
_space_group_name_H-M_alt 'P 63/m m c'
_space_group_IT_number 194
_space_group_name_Hall '-P 6c 2c'
_cell_length_a 7.2519
_cell_length_b 7.2519
_cell_length_c 5.9136
_cell_angle_alpha 90.00
_cell_angle_beta 90.00
_cell_angle_gamma 120.00
loop_
_atom_site_label
_atom_site_fract_x
_atom_site_fract_y
_atom_site_fract_z
_atom_site_occupancy
Ba1 0.3333 0.6667 0.2500 1
Ta1 0.0000 0.0000 0.0000 1
Se1 0.1731 0.3463 0.7500 1
# **Spin magnetization**: 0.000 μB per cell
# **VASP energy**: -6.13 eV/atom
# **Uncorrected formation energy**: -1.29 eV per atom